Entry 1:
# NdY2Sn3Pd3

NdY2Sn3Pd3 after structural relaxation (PBE, the Open Quantum Materials Database).

Structure (POSCAR):
```
NdY2Sn3Pd3
1.0
-3.520 2.000 0.357
-1.787 -4.220 6.031
3.784 6.500 0.897
Nd Sn Pd Y
1 3 3 2
Direct
0.000 0.589 0.589
0.500 0.255 0.255
0.500 0.002 0.745
0.500 0.745 0.002
0.500 0.330 0.669
0.500 0.669 0.330
0.000 0.004 0.004
0.000 0.999 0.407
0.000 0.407 0.999
```

M_tot ... 0.006 Bohr magnetons per cell
Final energy ... -53.63 eV/cell

Entry 2:
# SrNdPd

SrNdPd after structural relaxation (PBE, the Open Quantum Materials Database).

Structure (POSCAR):
```
SrNdPd
1.0
0.000 3.626 3.626
3.626 0.000 3.626
3.626 3.626 0.000
Pd Sr Nd
1 1 1
Direct
0.000 0.000 0.000
0.750 0.750 0.750
0.250 0.250 0.250
```

M_tot ... 0.000 Bohr magnetons per cell
Final energy ... -12.63 eV/cell

Entry 3:
# SrNdPd2

SrNdPd2 after structural relaxation (PBE, the Open Quantum Materials Database).

Structure (POSCAR):
```
SrNdPd2
1.0
-0.804 4.237 -1.686
-2.119 1.678 5.226
1.777 2.362 5.087
Sr Pd Nd
1 2 1
Direct
0.000 0.359 0.359
0.000 0.084 0.084
0.500 0.924 0.924
0.500 0.633 0.633
```

M_tot ... 0.002 Bohr magnetons per cell
Final energy ... -19.53 eV/cell

Entry 4:
# NdTaPd

NdTaPd after structural relaxation (PBE, the Open Quantum Materials Database).

Structure (POSCAR):
```
NdTaPd
1.0
-1.032 -4.250 -1.748
-2.913 -2.866 2.342
-4.310 -0.869 -1.688
Nd Ta Pd
1 1 1
Direct
0.500 0.500 0.500
0.000 0.000 0.000
0.250 0.250 0.250
```

M_tot ... 1.197 Bohr magnetons per cell
ΔE_f ... 119 kJ/mol of formula units

Entry 5:
# TbNdPd

TbNdPd after structural relaxation (PBE, the Open Quantum Materials Database).

Structure (POSCAR):
```
TbNdPd
1.0
-3.124 -3.419 -1.765
-4.754 0.027 1.403
-3.529 1.299 -3.229
Tb Nd Pd
1 1 1
Direct
0.750 0.750 0.750
0.250 0.250 0.250
0.000 0.000 0.000
```

M_tot ... 0.003 Bohr magnetons per cell
ΔE_f ... -119 kJ/mol of formula units
Distance to the lowest polymorph of the same formula ... 0 meV/atom

Entry 6:
# TbNdTlPd2

TbNdTlPd2 after structural relaxation (PBE, the Open Quantum Materials Database).

Structure (POSCAR):
```
TbNdTlPd2
1.0
-1.139 -3.478 0.740
6.225 -1.032 4.728
3.194 0.484 7.193
Pd Tl Tb Nd
2 1 1 1
Direct
0.000 0.806 0.806
0.000 0.190 0.190
0.000 0.002 0.002
0.500 0.635 0.635
0.500 0.367 0.367
```

M_tot ... 0.002 Bohr magnetons per cell
Final energy ... -25.81 eV/cell

Entry 7:
# TbNdTl2Pd4

TbNdTl2Pd4 after structural relaxation (PBE, the Open Quantum Materials Database).

Structure (POSCAR):
```
TbNdTl2Pd4
1.0
4.689 0.000 0.000
-2.344 4.060 0.000
0.000 0.000 8.991
Pd Tl Nd Tb
4 2 1 1
Direct
0.333 0.667 0.658
0.000 0.000 0.165
0.333 0.667 0.342
0.000 0.000 0.835
0.667 0.333 0.254
0.667 0.333 0.746
0.333 0.667 0.000
0.000 0.000 0.500
```

M_tot ... 0.001 Bohr magnetons per cell
Final energy ... -39.99 eV/cell

Entry 8:
# NdTcPd

NdTcPd after structural relaxation (PBE, the Open Quantum Materials Database).

Structure (POSCAR):
```
NdTcPd
1.0
0.000 3.289 3.289
3.289 0.000 3.289
3.289 3.289 0.000
Nd Pd Tc
1 1 1
Direct
0.250 0.250 0.250
0.000 0.000 0.000
0.750 0.750 0.750
```

M_tot ... 2.412 Bohr magnetons per cell
ΔE_f ... 116 kJ/mol of formula units

Entry 9:
# NdTlPd

NdTlPd after structural relaxation (PBE, the Open Quantum Materials Database).

Structure (POSCAR):
```
NdTlPd
1.0
-6.336 -1.449 4.159
6.980 -0.855 3.177
-0.084 3.940 1.245
Nd Tl Pd
3 3 3
Direct
0.411 0.411 0.500
0.000 0.589 0.500
0.589 0.000 0.500
0.000 0.256 0.000
0.256 0.000 0.000
0.744 0.744 0.000
0.667 0.333 0.000
0.000 0.000 0.500
0.333 0.667 0.000
```

M_tot ... 0.049 Bohr magnetons per cell
Distance to the lowest polymorph of the same formula ... 0 meV/atom

Entry 10:
# NdTlPd

NdTlPd after structural relaxation (PBE, the Open Quantum Materials Database).

Structure (POSCAR):
```
NdTlPd
1.0
-3.019 -3.514 1.472
4.809 -0.652 0.279
-0.007 2.712 6.461
Nd Pd Tl
2 2 2
Direct
0.000 0.000 0.248
0.000 0.000 0.748
0.333 0.667 0.004
0.667 0.333 0.504
0.333 0.667 0.497
0.667 0.333 0.997
```

M_tot ... 0.006 Bohr magnetons per cell
Distance to the lowest polymorph of the same formula ... 68 meV/atom